Entry 1:
Tl4AuSe: relaxed, GGA-PBE.

extended XYZ file:
```
6
Lattice="-0.841 3.780 -0.850 -2.583 1.344 2.692 7.036 7.080 8.330" Properties=species:S:1:pos:R:3 pbc="T T T"
Tl -0.827 7.466 4.730
Tl 4.441 8.492 8.026
Tl -0.829 3.712 2.146
Tl 4.439 4.738 5.442
Se 1.806 6.102 5.086
Au 0.000 0.000 0.000
```

Output
* symmetry: No. 12
* crystal system: monoclinic
* VASP energy: -2.86 eV/atom
* N(E_F): 1.3 states/eV/f.u.

---

Entry 2:
Tl12Au5Se3: relaxed, GGA-PBE.

extended XYZ file:
```
80
Lattice="-1.917 1.178 15.071 -13.605 -1.044 -6.784 8.201 -12.458 -3.119" Properties=species:S:1:pos:R:3 pbc="T T T"
Au 4.038 -10.149 7.726
Au -0.455 -7.884 -0.726
Au -7.761 0.067 4.144
Au 3.142 -5.640 5.976
Au -3.095 -1.377 3.566
Au -11.052 -3.292 2.704
Au 3.732 -9.033 2.464
Au 0.047 -7.017 9.542
Au -6.865 -4.441 5.894
Au -2.702 -6.751 -4.952
Au -3.660 -6.163 2.584
Au -6.802 -0.522 -3.392
Au 0.000 0.000 0.000
Au -11.358 -2.177 -2.558
Au 4.101 -6.229 -1.560
Au -7.368 -5.308 -4.374
Au -4.225 -10.948 1.602
Au -4.029 -8.966 6.608
Au -0.958 0.589 7.536
Au -3.291 -3.359 -1.440
Tl -11.502 -2.553 -5.356
Tl -8.837 -1.491 -1.480
Tl -9.468 -5.385 1.653
Tl 6.301 -11.709 -0.983
Tl 1.213 -5.668 -1.269
Tl -8.387 -1.603 9.802
Tl -5.434 -8.403 1.831
Tl -2.705 -8.242 -2.399
Tl 1.950 -11.097 3.211
Tl -4.729 -5.358 -0.051
Tl -7.829 -5.602 -1.601
Tl -4.477 -2.743 10.959
Tl -2.814 0.068 9.777
Tl -2.102 -10.994 6.200
Tl 1.219 -3.684 4.877
Tl -13.621 -0.616 6.151
Tl 1.067 -10.722 -4.634
Tl -5.652 -1.057 2.404
Tl 2.148 -6.940 3.515
Tl -0.952 -7.172 1.965
Tl -8.539 -8.641 0.291
Tl -1.776 -4.865 9.724
Tl -4.379 -11.047 -1.219
Tl -7.213 -10.272 -3.384
Tl -0.657 -2.826 -0.565
Tl -8.534 -6.658 6.436
Tl -2.941 -1.278 6.387
Tl -2.591 -6.968 5.219
Tl -9.270 -1.229 1.957
Tl -9.627 -5.389 -6.070
Tl 1.517 -10.834 6.647
Tl 4.437 -8.866 -0.268
Tl -1.886 -3.922 3.336
Tl -6.368 -5.153 3.203
Tl -11.757 -3.459 5.436
Tl -1.668 -11.268 2.764
Tl 0.509 -6.723 6.768
Tl -5.544 -7.460 -4.556
Tl 0.623 -10.454 -1.200
Tl -5.218 -1.332 -1.032
Tl 4.182 -9.772 10.524
Tl 2.307 -6.936 11.238
Tl -6.664 -9.499 5.732
Tl -4.507 -12.393 -4.609
Tl -0.107 -2.053 8.552
Tl -7.943 -1.872 6.367
Tl -4.615 -4.083 7.567
Tl -2.843 -9.582 -5.791
Se 3.535 -11.015 -2.541
Se -5.993 -10.110 -6.392
Se -8.216 -7.817 3.418
Se -5.514 -1.066 8.369
Se -0.149 -8.999 4.536
Se 0.896 -4.508 1.750
Se -10.855 -1.310 7.709
Se -1.806 -11.260 -3.202
Se -7.171 -3.326 0.632
Se -1.524 -4.197 6.554
Se -1.327 -2.215 11.559
Se -5.797 -8.128 -1.386
```

Output
* symmetry: No. 230
* crystal system: cubic
* VASP energy: -2.83 eV/atom
* N(E_F): 7.2 states/eV/f.u.

---

Entry 3:
TlAu3Se: relaxed, GGA-PBE.

extended XYZ file:
```
5
Lattice="5.142 0.000 0.000 0.000 5.142 0.000 0.000 0.000 5.142" Properties=species:S:1:pos:R:3 pbc="T T T"
Au 0.000 0.000 2.571
Au 2.571 0.000 0.000
Au 0.000 2.571 0.000
Tl 2.571 2.571 2.571
Se 0.000 0.000 0.000
```

Output
* symmetry: No. 221
* crystal system: cubic
* VASP energy: -2.88 eV/atom
* N(E_F): 3.6 states/eV/f.u.